The following is a GGA-PBE calculation of Na3SeO3 after structural relaxation, from Alexandria.

a = 7.617 Å, b = 7.617 Å, c = 4.750 Å
α = 90.00°, β = 90.00°, γ = 119.94°
Fractional positions:
1 Na 0.166 0.834 0.750
2 Na 0.167 0.334 0.750
3 Na 0.334 0.167 0.250
4 Na 0.666 0.833 0.750
5 Na 0.833 0.666 0.250
6 Na 0.834 0.166 0.250
7 Se 0.333 0.667 0.250
8 Se 0.667 0.333 0.750
9 O 0.188 0.812 0.250
10 O 0.189 0.377 0.250
11 O 0.377 0.189 0.750
12 O 0.623 0.811 0.250
13 O 0.811 0.623 0.750
14 O 0.812 0.188 0.750

Results
DOS(E_F) in states/eV per atom: 0.13
Uncorrected formation energy in meV per atom: -1118
SG: Cmcm (63)

The following is a GGA-PBE calculation of NaSeO3 after structural relaxation, from Alexandria.

a = 4.579 Å, b = 6.241 Å, c = 6.870 Å
α = 105.32°, β = 100.80°, γ = 107.49°
Fractional positions:
1 Na 0.000 0.000 0.000
2 Na 0.327 0.608 0.433
3 Se 0.137 0.114 0.554
4 Se 0.303 0.538 0.960
5 O 0.177 0.722 0.114
6 O 0.462 0.396 0.094
7 O 0.510 0.669 0.820
8 O 0.905 0.843 0.539
9 O 0.968 0.300 0.764
10 O 0.992 0.184 0.347

Results
DOS(E_F) in states/eV per atom: 0.00
Uncorrected formation energy in meV per atom: -1097
SG: P1 (1)

The following is a GGA-PBE calculation of Na2SeO after structural relaxation, from Alexandria.

a = 9.125 Å, b = 9.125 Å, c = 4.402 Å
α = 90.00°, β = 90.00°, γ = 90.00°
Fractional positions:
1 Na 0.004 0.750 0.125
2 Na 0.250 0.004 0.875
3 Na 0.250 0.496 0.375
4 Na 0.496 0.750 0.625
5 Na 0.504 0.250 0.625
6 Na 0.750 0.504 0.375
7 Na 0.750 0.996 0.875
8 Na 0.996 0.250 0.125
9 Se 0.000 0.000 0.500
10 Se 0.000 0.500 0.750
11 Se 0.500 0.000 0.250
12 Se 0.500 0.500 0.000
13 O 0.000 0.000 0.000
14 O 0.000 0.500 0.250
15 O 0.500 0.000 0.750
16 O 0.500 0.500 0.500

Results
Relative energy among the computed polymorphs in meV/atom: 0
DOS(E_F) in states/eV per atom: 0.00
Uncorrected formation energy in meV per atom: -804
SG: I-42d (122)

The following is a GGA-PBE calculation of NaSiSeO6 after structural relaxation, from Alexandria.

a = 4.783 Å, b = 4.783 Å, c = 10.561 Å
α = 90.00°, β = 90.00°, γ = 120.00°
Fractional positions:
1 Na 0.000 0.000 0.000
2 Na 0.000 0.000 0.500
3 Si 0.333 0.667 0.250
4 Si 0.667 0.333 0.750
5 Se 0.333 0.667 0.750
6 Se 0.667 0.333 0.250
7 O 0.004 0.375 0.155
8 O 0.004 0.629 0.345
9 O 0.371 0.375 0.345
10 O 0.371 0.996 0.155
11 O 0.375 0.004 0.655
12 O 0.375 0.371 0.845
13 O 0.625 0.629 0.155
14 O 0.625 0.996 0.345
15 O 0.629 0.004 0.845
16 O 0.629 0.625 0.655
17 O 0.996 0.371 0.655
18 O 0.996 0.625 0.845

Results
DOS(E_F) in states/eV per atom: 0.73
Uncorrected formation energy in meV per atom: -1320
SG: P-31c (163)

The following is a GGA-PBE calculation of NaSmSeO4 after structural relaxation, from Alexandria.

a = 6.636 Å, b = 6.636 Å, c = 6.636 Å
α = 117.16°, β = 114.59°, γ = 97.32°
Fractional positions:
1 Na 0.000 0.000 0.000
2 Na 0.500 0.000 0.500
3 Sm 0.500 0.000 0.000
4 Sm 0.500 0.500 0.500
5 Se 0.099 0.349 0.750
6 Se 0.901 0.651 0.250
7 O 0.219 0.271 0.551
8 O 0.219 0.668 0.949
9 O 0.289 0.250 0.039
10 O 0.289 0.750 0.539
11 O 0.711 0.250 0.461
12 O 0.711 0.750 0.961
13 O 0.781 0.332 0.051
14 O 0.781 0.729 0.449

Results
DOS(E_F) in states/eV per atom: 0.00
Uncorrected formation energy in meV per atom: -1784
SG: Imma (74)

The following is a GGA-PBE calculation of NaSmSe2O6 after structural relaxation, from Alexandria.

a = 6.828 Å, b = 6.828 Å, c = 6.828 Å
α = 47.30°, β = 47.30°, γ = 47.30°
Fractional positions:
1 Na 0.000 0.000 0.000
2 Sm 0.500 0.500 0.500
3 Se 0.283 0.283 0.283
4 Se 0.717 0.717 0.717
5 O 0.051 0.474 0.744
6 O 0.256 0.949 0.526
7 O 0.474 0.744 0.051
8 O 0.526 0.256 0.949
9 O 0.744 0.051 0.474
10 O 0.949 0.526 0.256

Results
DOS(E_F) in states/eV per atom: 0.00
Uncorrected formation energy in meV per atom: -1696
SG: R-3 (148)

Question: Number 3 is which compound?
Answer: Na2SeO

Repeat the fifth record exactly.
The following is a GGA-PBE calculation of NaSmSeO4 after structural relaxation, from Alexandria.

a = 6.636 Å, b = 6.636 Å, c = 6.636 Å
α = 117.16°, β = 114.59°, γ = 97.32°
Fractional positions:
1 Na 0.000 0.000 0.000
2 Na 0.500 0.000 0.500
3 Sm 0.500 0.000 0.000
4 Sm 0.500 0.500 0.500
5 Se 0.099 0.349 0.750
6 Se 0.901 0.651 0.250
7 O 0.219 0.271 0.551
8 O 0.219 0.668 0.949
9 O 0.289 0.250 0.039
10 O 0.289 0.750 0.539
11 O 0.711 0.250 0.461
12 O 0.711 0.750 0.961
13 O 0.781 0.332 0.051
14 O 0.781 0.729 0.449

Results
DOS(E_F) in states/eV per atom: 0.00
Uncorrected formation energy in meV per atom: -1784
SG: Imma (74)